No. 1
# MnNiAg2 (GGA-PBEsol, relaxed)
data_MnNiAg2
_chemical_formula_sum 'Mn4 Ni4 Ag8'
_cell_length_a 6.133
_cell_length_b 6.133
_cell_length_c 6.133
_cell_angle_alpha 90.00
_cell_angle_beta 90.00
_cell_angle_gamma 90.00
_symmetry_space_group_name_H-M 'F m -3 m'
_symmetry_Int_Tables_number 225
_symmetry_space_group_name_Hall '-F 4 2 3'
loop_
_atom_site_label
_atom_site_type_symbol
_atom_site_fract_x
_atom_site_fract_y
_atom_site_fract_z
_atom_site_occupancy
Mn1 Mn 0.000 0.000 0.000 1
Ni1 Ni 0.000 0.000 0.500 1
Ag1 Ag 0.250 0.250 0.250 1
# - crystal system = cubic
# - formation energy from the elements (eV per atom) = 0.326
# - electronic total energy (eV/atom) = -5.309

***

No. 2
# Mn2NiAg2 (GGA-PBEsol, relaxed)
data_Mn2NiAg2
_chemical_formula_sum 'Mn4 Ni2 Ag4'
_cell_length_a 3.030
_cell_length_b 3.030
_cell_length_c 15.031
_cell_angle_alpha 90.00
_cell_angle_beta 90.00
_cell_angle_gamma 90.00
_symmetry_space_group_name_H-M 'I 4/m m m'
_symmetry_Int_Tables_number 139
_symmetry_space_group_name_Hall '-I 4 2'
loop_
_atom_site_label
_atom_site_type_symbol
_atom_site_fract_x
_atom_site_fract_y
_atom_site_fract_z
_atom_site_occupancy
Mn1 Mn 0.000 0.500 0.250 1
Ni1 Ni 0.000 0.000 0.000 1
Ag1 Ag 0.000 0.000 0.400 1
# - crystal system = tetragonal
# - formation energy from the elements (eV per atom) = 0.662
# - electronic total energy (eV/atom) = -5.799

***

No. 3
# MnNi2Ag (GGA-PBEsol, relaxed)
data_MnNi2Ag
_chemical_formula_sum 'Mn1 Ni2 Ag1'
_cell_length_a 4.383
_cell_length_b 2.711
_cell_length_c 4.517
_cell_angle_alpha 90.00
_cell_angle_beta 108.93
_cell_angle_gamma 90.00
_symmetry_space_group_name_H-M 'P 1 2/m 1'
_symmetry_Int_Tables_number 10
_symmetry_space_group_name_Hall '-P 2y'
loop_
_atom_site_label
_atom_site_type_symbol
_atom_site_fract_x
_atom_site_fract_y
_atom_site_fract_z
_atom_site_occupancy
Mn1 Mn 0.000 0.000 0.000 1
Ni1 Ni 0.500 0.000 0.500 1
Ni2 Ni 0.500 0.500 0.000 1
Ag1 Ag 0.000 0.500 0.500 1
# - crystal system = monoclinic
# - formation energy from the elements (eV per atom) = 0.254
# - electronic total energy (eV/atom) = -6.093

***

No. 4
# MnTlNi2Ag (GGA-PBEsol, relaxed)
data_MnTlNi2Ag
_chemical_formula_sum 'Mn1 Tl1 Ni2 Ag1'
_cell_length_a 4.628
_cell_length_b 4.628
_cell_length_c 4.973
_cell_angle_alpha 90.00
_cell_angle_beta 90.00
_cell_angle_gamma 90.00
_symmetry_space_group_name_H-M 'P 4/m m m'
_symmetry_Int_Tables_number 123
_symmetry_space_group_name_Hall '-P 4 2'
loop_
_atom_site_label
_atom_site_type_symbol
_atom_site_fract_x
_atom_site_fract_y
_atom_site_fract_z
_atom_site_occupancy
Mn1 Mn 0.000 0.000 0.000 1
Tl1 Tl 0.500 0.500 0.000 1
Ni1 Ni 0.000 0.500 0.500 1
Ag1 Ag 0.500 0.500 0.500 1
# - crystal system = tetragonal
# - formation energy from the elements (eV per atom) = 1.445
# - electronic total energy (eV/atom) = -4.158

***

No. 5
# MnNiAgW2 (GGA-PBEsol, relaxed)
data_MnNiAgW2
_chemical_formula_sum 'Mn1 Ni1 Ag1 W2'
_cell_length_a 4.323
_cell_length_b 4.323
_cell_length_c 4.642
_cell_angle_alpha 90.00
_cell_angle_beta 90.00
_cell_angle_gamma 90.00
_symmetry_space_group_name_H-M 'P 4/m m m'
_symmetry_Int_Tables_number 123
_symmetry_space_group_name_Hall '-P 4 2'
loop_
_atom_site_label
_atom_site_type_symbol
_atom_site_fract_x
_atom_site_fract_y
_atom_site_fract_z
_atom_site_occupancy
Mn1 Mn 0.000 0.000 0.000 1
Ni1 Ni 0.500 0.500 0.500 1
Ag1 Ag 0.000 0.000 0.500 1
W1 W 0.000 0.500 0.000 1
# - crystal system = tetragonal
# - formation energy from the elements (eV per atom) = 1.711
# - electronic total energy (eV/atom) = -7.658
# - E above lowest polymorph (meV per atom) = 0

***

No. 6
# MnNiAgW2 (GGA-PBEsol, relaxed)
data_MnNiAgW2
_chemical_formula_sum 'Mn1 Ni1 Ag1 W2'
_cell_length_a 4.727
_cell_length_b 4.727
_cell_length_c 4.528
_cell_angle_alpha 90.00
_cell_angle_beta 90.00
_cell_angle_gamma 90.00
_symmetry_space_group_name_H-M 'P 4/m m m'
_symmetry_Int_Tables_number 123
_symmetry_space_group_name_Hall '-P 4 2'
loop_
_atom_site_label
_atom_site_type_symbol
_atom_site_fract_x
_atom_site_fract_y
_atom_site_fract_z
_atom_site_occupancy
Mn1 Mn 0.000 0.000 0.000 1
Ni1 Ni 0.500 0.500 0.000 1
Ag1 Ag 0.000 0.000 0.500 1
W1 W 0.000 0.500 0.500 1
# - crystal system = tetragonal
# - formation energy from the elements (eV per atom) = 2.815
# - electronic total energy (eV/atom) = -6.554
# - E above lowest polymorph (meV per atom) = 1104

***

No. 7
# Mn3AgO (GGA-PBEsol, relaxed)
data_Mn3AgO
_chemical_formula_sum 'Mn3 Ag1 O1'
_cell_length_a 4.770
_cell_length_b 4.770
_cell_length_c 4.770
_cell_angle_alpha 90.00
_cell_angle_beta 90.00
_cell_angle_gamma 90.00
_symmetry_space_group_name_H-M 'P m -3 m'
_symmetry_Int_Tables_number 221
_symmetry_space_group_name_Hall '-P 4 2 3'
loop_
_atom_site_label
_atom_site_type_symbol
_atom_site_fract_x
_atom_site_fract_y
_atom_site_fract_z
_atom_site_occupancy
Mn1 Mn 0.000 0.000 0.500 1
Ag1 Ag 0.000 0.000 0.000 1
O1 O 0.500 0.500 0.500 1
# - crystal system = cubic
# - electronic total energy (eV/atom) = -5.889
# - raw formation energy (eV/atom) = 1.680

***

No. 8
# MnAgPO4 (GGA-PBEsol, relaxed)
data_MnAgPO4
_chemical_formula_sum 'Mn4 Ag4 P4 O16'
_cell_length_a 5.793
_cell_length_b 6.551
_cell_length_c 9.608
_cell_angle_alpha 75.17
_cell_angle_beta 79.79
_cell_angle_gamma 78.15
_symmetry_space_group_name_H-M 'P -1'
_symmetry_Int_Tables_number 2
_symmetry_space_group_name_Hall '-P 1'
loop_
_atom_site_label
_atom_site_type_symbol
_atom_site_fract_x
_atom_site_fract_y
_atom_site_fract_z
_atom_site_occupancy
Mn1 Mn 0.161 0.069 0.212 1
Mn2 Mn 0.284 0.169 0.568 1
Ag1 Ag 0.194 0.384 0.872 1
Ag2 Ag 0.323 0.527 0.235 1
P1 P 0.189 0.712 0.531 1
P2 P 0.310 0.856 0.907 1
O1 O 0.066 0.212 0.394 1
O2 O 0.126 0.722 0.890 1
O3 O 0.162 0.764 0.365 1
O4 O 0.265 0.078 0.798 1
O5 O 0.268 0.472 0.590 1
O6 O 0.276 0.883 0.063 1
O7 O 0.368 0.842 0.555 1
O8 O 0.431 0.257 0.132 1
# - crystal system = triclinic
# - electronic total energy (eV/atom) = -7.249
# - raw formation energy (eV/atom) = -1.555

***

No. 9
# MnAgOs2 (GGA-PBEsol, relaxed)
data_MnAgOs2
_chemical_formula_sum 'Mn1 Ag1 Os2'
_cell_length_a 4.675
_cell_length_b 2.727
_cell_length_c 4.676
_cell_angle_alpha 90.00
_cell_angle_beta 109.14
_cell_angle_gamma 90.00
_symmetry_space_group_name_H-M 'P 1 2/m 1'
_symmetry_Int_Tables_number 10
_symmetry_space_group_name_Hall '-P 2y'
loop_
_atom_site_label
_atom_site_type_symbol
_atom_site_fract_x
_atom_site_fract_y
_atom_site_fract_z
_atom_site_occupancy
Mn1 Mn 0.000 0.000 0.000 1
Ag1 Ag 0.000 0.500 0.500 1
Os1 Os 0.500 0.000 0.500 1
Os2 Os 0.500 0.500 0.000 1
# - crystal system = monoclinic
# - formation energy from the elements (eV per atom) = 0.496
# - electronic total energy (eV/atom) = -8.880
# - E above lowest polymorph (meV per atom) = 119

***

No. 10
# MnAgOs2 (GGA-PBEsol, relaxed)
data_MnAgOs2
_chemical_formula_sum 'Mn1 Ag1 Os2'
_cell_length_a 2.805
_cell_length_b 4.519
_cell_length_c 4.567
_cell_angle_alpha 90.00
_cell_angle_beta 90.00
_cell_angle_gamma 90.00
_symmetry_space_group_name_H-M 'P m m m'
_symmetry_Int_Tables_number 47
_symmetry_space_group_name_Hall '-P 2 2'
loop_
_atom_site_label
_atom_site_type_symbol
_atom_site_fract_x
_atom_site_fract_y
_atom_site_fract_z
_atom_site_occupancy
Mn1 Mn 0.000 0.000 0.000 1
Ag1 Ag 0.500 0.500 0.000 1
Os1 Os 0.000 0.500 0.500 1
Os2 Os 0.500 0.000 0.500 1
# - crystal system = orthorhombic
# - formation energy from the elements (eV per atom) = 0.671
# - electronic total energy (eV/atom) = -8.705
# - E above lowest polymorph (meV per atom) = 294

***

No. 11
# MnAgOs2 (GGA-PBEsol, relaxed)
data_MnAgOs2
_chemical_formula_sum 'Mn3 Ag3 Os6'
_cell_length_a 2.6893
_cell_length_b 2.6893
_cell_length_c 26.6906
_cell_angle_alpha 90.00
_cell_angle_beta 90.00
_cell_angle_gamma 120.00
_symmetry_space_group_name_H-M 'R 3 m'
_symmetry_Int_Tables_number 160
_symmetry_space_group_name_Hall 'R 3 -2"'
loop_
_atom_site_label
_atom_site_type_symbol
_atom_site_fract_x
_atom_site_fract_y
_atom_site_fract_z
_atom_site_occupancy
Mn1 Mn 0.0000 0.0000 0.0000 1
Ag1 Ag 0.0000 0.0000 0.2484 1
Os1 Os 0.0000 0.0000 0.4907 1
Os2 Os 0.0000 0.0000 0.7430 1
# - crystal system = trigonal
# - formation energy from the elements (eV per atom) = 0.377
# - electronic total energy (eV/atom) = -8.999
# - E above lowest polymorph (meV per atom) = 0

***

No. 12
# MnAg4Os (GGA-PBEsol, relaxed)
data_MnAg4Os
_chemical_formula_sum 'Mn4 Ag16 Os4'
_cell_length_a 7.348
_cell_length_b 7.348
_cell_length_c 7.348
_cell_angle_alpha 90.00
_cell_angle_beta 90.00
_cell_angle_gamma 90.00
_symmetry_space_group_name_H-M 'F -4 3 m'
_symmetry_Int_Tables_number 216
_symmetry_space_group_name_Hall 'F -4 2 3'
loop_
_atom_site_label
_atom_site_type_symbol
_atom_site_fract_x
_atom_site_fract_y
_atom_site_fract_z
_atom_site_occupancy
Mn1 Mn 0.000 0.000 0.000 1
Ag1 Ag 0.125 0.125 0.375 1
Os1 Os 0.250 0.250 0.750 1
# - crystal system = cubic
# - formation energy from the elements (eV per atom) = 0.841
# - electronic total energy (eV/atom) = -5.030

***

Number 1: total magnetic moment 1.0536 μB/atom. Number 2: total magnetic moment 0.0131 μB/atom. Number 3: total magnetic moment 1.1976 μB/atom. Number 4: total magnetic moment 1.0985 μB/atom. Number 5: total magnetic moment 0.0007 μB/atom. Number 6: total magnetic moment 0.4739 μB/atom. Number 7: total magnetic moment 2.6012 μB/atom. Number 8: total magnetic moment 0.7143 μB/atom. Number 9: total magnetic moment 0.7147 μB/atom. Number 10: total magnetic moment 0.8462 μB/atom. Number 11: total magnetic moment 0.3278 μB/atom. Number 12: total magnetic moment 0.7875 μB/atom.